# 1
Density functional theory data (PBE) for an optimized crystal structure of SrIn2Sb.

The structure in POSCAR format:
```
SrIn2Sb
1.0
4.049 0.000 0.000
0.000 4.049 0.000
0.000 0.000 7.356
Sr In Sb
1 2 1
Direct
0.000 0.000 0.000 Sr
0.500 0.500 0.292 In
0.500 0.500 0.708 In
0.000 0.000 0.500 Sb
```

## Properties
**Uncorrected formation energy**: -0.289 eV/atom

---

# 2
Density functional theory data (PBE) for an optimized crystal structure of Li3PaH12Pt4.

The structure in POSCAR format:
```
Li3PaH12Pt4
1.0
4.135 2.387 3.225
-4.135 2.387 3.225
0.000 -4.775 3.225
Li Pa H Pt
3 1 12 4
Direct
0.000 0.585 0.415 Li
0.415 0.000 0.585 Li
0.585 0.415 0.000 Li
0.000 0.000 0.000 Pa
0.013 0.278 0.307 H
0.052 0.948 0.500 H
0.278 0.307 0.013 H
0.304 0.696 0.500 H
0.307 0.013 0.278 H
0.500 0.052 0.948 H
0.500 0.304 0.696 H
0.693 0.722 0.987 H
0.696 0.500 0.304 H
0.722 0.987 0.693 H
0.948 0.500 0.052 H
0.987 0.693 0.722 H
0.143 0.500 0.857 Pt
0.500 0.500 0.500 Pt
0.500 0.857 0.143 Pt
0.857 0.143 0.500 Pt
```

## Properties
**VASP energy**: -83.48 eV/f.u.

---

# 3
Density functional theory data (PBE) for an optimized crystal structure of HfRe2Ru.

The structure in POSCAR format:
```
HfRe2Ru
1.0
7.427 0.000 0.000
0.000 7.427 0.000
0.000 0.000 5.120
Hf Re Ru
4 8 4
Direct
0.000 0.000 0.000 Hf
0.000 0.500 0.250 Hf
0.500 0.000 0.750 Hf
0.500 0.500 0.500 Hf
0.218 0.250 0.625 Re
0.250 0.718 0.875 Re
0.250 0.782 0.375 Re
0.282 0.250 0.125 Re
0.718 0.750 0.125 Re
0.750 0.218 0.375 Re
0.750 0.282 0.875 Re
0.782 0.750 0.625 Re
0.000 0.000 0.500 Ru
0.000 0.500 0.750 Ru
0.500 0.000 0.250 Ru
0.500 0.500 0.000 Ru
```

## Properties
**ΔE_f**: 0.527 eV/atom
**Energy above the lowest structure with this stoichiometry**: 361.0 meV/atom

---

# 4
Density functional theory data (PBE) for an optimized crystal structure of PmAlRh2.

The structure in POSCAR format:
```
PmAlRh2
1.0
5.879 0.000 0.000
0.000 7.086 0.000
0.000 0.000 8.399
Pm Al Rh
4 4 8
Direct
0.250 0.000 0.156 Pm
0.250 0.500 0.295 Pm
0.750 0.000 0.844 Pm
0.750 0.500 0.705 Pm
0.250 0.000 0.744 Al
0.250 0.500 0.785 Al
0.750 0.000 0.256 Al
0.750 0.500 0.215 Al
0.000 0.000 0.500 Rh
0.000 0.500 0.000 Rh
0.250 0.298 0.561 Rh
0.250 0.702 0.561 Rh
0.500 0.000 0.500 Rh
0.500 0.500 0.000 Rh
0.750 0.298 0.439 Rh
0.750 0.702 0.439 Rh
```

## Properties
**ΔE_f**: -0.173 eV/atom

---

# 5
Density functional theory data (PBE) for an optimized crystal structure of DyPaCd6.

The structure in POSCAR format:
```
DyPaCd6
1.0
3.525 2.035 5.847
-3.525 2.035 5.847
0.000 -4.070 5.847
Dy Pa Cd
1 1 6
Direct
0.000 0.000 0.000 Dy
0.500 0.500 0.500 Pa
0.109 0.109 0.510 Cd
0.109 0.510 0.109 Cd
0.490 0.891 0.891 Cd
0.510 0.109 0.109 Cd
0.891 0.490 0.891 Cd
0.891 0.891 0.490 Cd
```

## Properties
**ΔE_f**: 0.595 eV/atom

---

# 6
Density functional theory data (PBE) for an optimized crystal structure of Er2ZnTe.

The structure in POSCAR format:
```
Er2ZnTe
1.0
3.866 0.000 0.000
-1.933 3.348 0.000
0.000 0.000 29.914
Er Zn Te
6 3 3
Direct
0.000 0.000 0.099 Er
0.000 0.000 0.901 Er
0.333 0.667 0.568 Er
0.333 0.667 0.765 Er
0.667 0.333 0.235 Er
0.667 0.333 0.432 Er
0.000 0.000 0.000 Zn
0.333 0.667 0.667 Zn
0.667 0.333 0.333 Zn
0.000 0.000 0.500 Te
0.333 0.667 0.167 Te
0.667 0.333 0.833 Te
```

## Properties
**Uncorrected formation energy**: -0.166 eV/atom
**Energy above the lowest structure with this stoichiometry**: 629.9 meV/atom

---

# 7
Density functional theory data (PBE) for an optimized crystal structure of Ca3Pm2Pb4.

The structure in POSCAR format:
```
Ca3Pm2Pb4
1.0
8.561 0.000 0.000
0.000 8.702 0.000
-2.278 0.000 7.594
Ca Pm Pb
6 4 8
Direct
0.000 0.000 0.000 Ca
0.000 0.500 0.500 Ca
0.255 0.167 0.747 Ca
0.255 0.333 0.247 Ca
0.745 0.667 0.753 Ca
0.745 0.833 0.253 Ca
0.313 0.693 0.934 Pm
0.313 0.807 0.434 Pm
0.687 0.193 0.566 Pm
0.687 0.307 0.066 Pm
0.017 0.635 0.132 Pb
0.017 0.865 0.632 Pb
0.419 0.034 0.155 Pb
0.419 0.466 0.655 Pb
0.581 0.534 0.345 Pb
0.581 0.966 0.845 Pb
0.983 0.135 0.368 Pb
0.983 0.365 0.868 Pb
```

## Properties
**ΔE_f**: -0.556 eV/atom

---

# 8
Density functional theory data (PBE) for an optimized crystal structure of TiGaPS2.

The structure in POSCAR format:
```
TiGaPS2
1.0
4.704 0.000 0.000
0.000 4.704 0.000
0.000 0.000 4.835
Ti Ga P S
1 1 1 2
Direct
0.000 0.000 0.000 Ti
0.500 0.500 0.500 Ga
0.000 0.000 0.500 P
0.000 0.500 0.000 S
0.500 0.000 0.000 S
```

## Properties
**Uncorrected formation energy**: -0.241 eV/atom
**Energy above the lowest structure with this stoichiometry**: 0.0 meV/atom